Crystalline Tl11Ag3 at its relaxed geometry. Source: OQMD, functional PBE.

a b c (Å): 8.3159 8.3159 6.8403
angles (deg): 111.13 111.13 66.90
With the nearest neighbours (Å) after each atom.
Positions (direct):
Tl: 0.3746 0.3746 0.0093  2 Ag 3.04-3.32, 5 Tl 3.14-3.28
Tl: 0.4452 0.0952 0.3969  2 Ag 3.17-3.54, 5 Tl 3.18-3.54
Tl: 0.1352 0.1352 0.6641  1 Ag 3.01, 5 Tl 3.14-3.34
Tl: 0.8568 0.8568 0.5018  2 Ag 2.98-3.12, 2 Tl 3.18
Tl: 0.7310 0.3462 0.4164  3 Ag 2.99-3.23, 2 Tl 3.25-3.26
Tl: 0.2326 0.8221 0.9215  3 Ag 2.99-3.15, 1 Tl 3.34
Tl: 0.3462 0.7310 0.4164  3 Ag 2.99-3.23, 2 Tl 3.25-3.26
Tl: 0.8221 0.2326 0.9215  3 Ag 2.99-3.15, 1 Tl 3.34
Tl: 0.0952 0.4452 0.3969  2 Ag 3.17-3.54, 5 Tl 3.18-3.54
Tl: 0.5903 0.9408 0.9112  2 Ag 3.13-3.31, 3 Tl 3.21-3.49
Tl: 0.9408 0.5903 0.9112  2 Ag 3.13-3.31, 3 Tl 3.21-3.49
Ag: 0.4789 0.4789 0.6995  1 Ag 2.89, 7 Tl 2.99-3.17
Ag: 0.6353 0.6353 0.1472  1 Ag 2.89, 5 Tl 2.98-3.23
Ag: 0.9719 0.9719 0.1977  8 Tl 2.99-3.14

Properties
E ... -33.32 eV/f.u.
Crystal system ... monoclinic